A relaxed HgRuRh3 crystal, computed with PBEsol.

Unit cell a=4.5891 b=4.5891 c=4.5891 alpha=90.00 beta=90.00 gamma=90.00
Space group Pm-3m (No. 221)
Asymmetric unit:
Hg 0.0000 0.0000 0.0000 [1 per cell]
Ru 0.5000 0.5000 0.5000 [1 per cell]
Rh 0.0000 0.5000 0.5000 [3 per cell]

- DFT formation energy (meV per atom) = 1326
- DFT total energy (Ry/atom) = -0.4193

---

A relaxed HgRu2Rh crystal, computed with PBEsol.

Unit cell a=2.7601 b=4.5543 c=9.6967 alpha=90.00 beta=90.00 gamma=90.00
Space group Immm (No. 71)
Asymmetric unit:
Hg 0.0000 0.0000 0.0000 [2 per cell]
Ru 0.0000 0.5000 0.2249 [4 per cell]
Rh 0.0000 0.0000 0.5000 [2 per cell]

- DFT formation energy (meV per atom) = 494
- DFT total energy (Ry/atom) = -0.4975

---

A relaxed HgRu2Rh crystal, computed with PBEsol.

Unit cell a=2.7632 b=4.6513 c=9.4378 alpha=90.00 beta=90.00 gamma=90.00
Space group Imm2 (No. 44)
Asymmetric unit:
Hg 0.0000 0.0000 0.0000 [2 per cell]
Ru 0.0000 0.0000 0.5106 [2 per cell]
Ru 0.0000 0.5000 0.2313 [2 per cell]
Rh 0.0000 0.5000 0.7696 [2 per cell]

- DFT formation energy (meV per atom) = 508
- DFT total energy (Ry/atom) = -0.4965

---

A relaxed HgRuRh2 crystal, computed with PBEsol.

Unit cell a=3.9437 b=3.9437 c=3.8195 alpha=90.00 beta=90.00 gamma=90.00
Space group P4/mmm (No. 123)
Asymmetric unit:
Hg 0.0000 0.0000 0.0000 [1 per cell]
Ru 0.5000 0.5000 0.0000 [1 per cell]
Rh 0.0000 0.5000 0.5000 [2 per cell]

- DFT formation energy (meV per atom) = 390
- DFT total energy (Ry/atom) = -0.4678

---

A relaxed HgRhS2 crystal, computed with PBEsol.

Unit cell a=3.5334 b=3.5334 c=22.2402 alpha=90.00 beta=90.00 gamma=120.00
Space group R-3m (No. 166, hexagonal axes)
Asymmetric unit:
Hg 0.0000 0.0000 0.0000 [3 per cell]
Rh 0.0000 0.0000 0.5000 [3 per cell]
S 0.0000 0.0000 0.1146 [6 per cell]

- DFT total energy (Ry/atom) = -0.3441
- formation energy (no corrections) (eV/atom) = -0.3139

---

A relaxed HgSb2Rh crystal, computed with PBEsol.

Unit cell a=4.3109 b=3.6873 c=5.6512 alpha=90.00 beta=106.64 gamma=90.00
Space group P2/m (No. 10)
Asymmetric unit:
Hg 0.0000 0.0000 0.0000 [1 per cell]
Sb 0.0000 0.0000 0.5000 [1 per cell]
Sb 0.5000 0.5000 0.0000 [1 per cell]
Rh 0.5000 0.5000 0.5000 [1 per cell]

- DFT total energy (Ry/atom) = -0.3177
- formation energy (no corrections) (eV/atom) = 0.1320

---

A relaxed HgSb2Rh crystal, computed with PBEsol.

Unit cell a=3.1625 b=3.1625 c=8.5059 alpha=90.00 beta=90.00 gamma=90.00
Space group P4mm (No. 99)
Asymmetric unit:
Hg 0.0000 0.0000 0.0000 [1 per cell]
Sb 0.0000 0.0000 0.3941 [1 per cell]
Sb 0.5000 0.5000 0.7173 [1 per cell]
Rh 0.5000 0.5000 0.2179 [1 per cell]

- DFT total energy (Ry/atom) = -0.3295
- formation energy (no corrections) (eV/atom) = -0.0287

---

A relaxed HgSbRh3 crystal, computed with PBEsol.

Unit cell a=4.8235 b=4.8235 c=4.8235 alpha=90.00 beta=90.00 gamma=90.00
Space group Pm-3m (No. 221)
Asymmetric unit:
Hg 0.0000 0.0000 0.0000 [1 per cell]
Sb 0.5000 0.5000 0.5000 [1 per cell]
Rh 0.0000 0.0000 0.5000 [3 per cell]

- DFT total energy (Ry/atom) = -0.3183
- formation energy (no corrections) (eV/atom) = 1.5774

---

A relaxed HgSb2Rh crystal, computed with PBEsol.

Unit cell a=5.9824 b=7.6867 c=3.6123 alpha=90.00 beta=90.12 gamma=90.00
Space group C2/m (No. 12)
Asymmetric unit:
Hg 0.0000 0.0000 0.0000 [2 per cell]
Sb 0.2500 0.2500 0.5000 [4 per cell]
Rh 0.0000 0.5000 0.0000 [2 per cell]

- DFT total energy (Ry/atom) = -0.3139
- formation energy (no corrections) (eV/atom) = 0.1842

---

A relaxed HgSbRh2Se crystal, computed with PBEsol.

Unit cell a=4.8365 b=4.8365 c=5.2245 alpha=90.00 beta=90.00 gamma=90.00
Space group P4/mmm (No. 123)
Asymmetric unit:
Hg 0.0000 0.0000 0.0000 [1 per cell]
Sb 0.0000 0.0000 0.5000 [1 per cell]
Rh 0.0000 0.5000 0.5000 [2 per cell]
Se 0.5000 0.5000 0.0000 [1 per cell]

- DFT total energy (Ry/atom) = -0.2936
- formation energy (no corrections) (eV/atom) = 1.0556

---

A relaxed Sc2HgRh crystal, computed with PBEsol.

Unit cell a=3.6380 b=3.6380 c=5.9258 alpha=90.00 beta=90.00 gamma=90.00
Space group P4mm (No. 99)
Asymmetric unit:
Sc 0.0000 0.0000 0.0000 [1 per cell]
Sc 0.5000 0.5000 0.3252 [1 per cell]
Hg 0.0000 0.0000 0.5361 [1 per cell]
Rh 0.5000 0.5000 0.8792 [1 per cell]

- DFT formation energy (meV per atom) = -452
- DFT total energy (Ry/atom) = -0.4359

---

A relaxed Sc2HgRh crystal, computed with PBEsol.

Unit cell a=3.1678 b=3.1678 c=7.3514 alpha=90.00 beta=90.00 gamma=90.00
Space group P4/mmm (No. 123)
Asymmetric unit:
Sc 0.0000 0.0000 0.2209 [2 per cell]
Hg 0.5000 0.5000 0.5000 [1 per cell]
Rh 0.5000 0.5000 0.0000 [1 per cell]

- DFT formation energy (meV per atom) = -746
- DFT total energy (Ry/atom) = -0.4575